! Ta2CuAu (PBEsol, optimized geometry); values from VASP
! Formation energy in meV per atom: 74.3
&SYSTEM
  ibrav = 0, nat = 4, ntyp = 3
/
ATOMIC_SPECIES
Au 196.97 Au.upf
Cu 63.55 Cu.upf
Ta 180.95 Ta.upf
ATOMIC_POSITIONS crystal
Au 0.497 0.995 0.493
Cu 0.749 0.499 0.244
Ta 0.001 0.002 0.015
Ta 0.252 0.504 0.748
CELL_PARAMETERS angstrom
-2.672 0.779 0.922
-0.103 -0.219 -4.774
-0.952 -4.700 1.214

! TaCuAu2 (PBEsol, optimized geometry); values from VASP
! Formation energy in meV per atom: 191.7
&SYSTEM
  ibrav = 0, nat = 4, ntyp = 3
/
ATOMIC_SPECIES
Au 196.97 Au.upf
Cu 63.55 Cu.upf
Ta 180.95 Ta.upf
ATOMIC_POSITIONS crystal
Au 0.000 0.000 0.000
Au 0.500 0.000 0.500
Cu 0.500 0.500 0.000
Ta 0.000 0.500 0.500
CELL_PARAMETERS angstrom
-0.090 1.911 -1.982
-4.890 -0.298 -0.065
1.196 3.490 3.309

! TaCuAu2 (PBEsol, optimized geometry); values from VASP
! Formation energy in meV per atom: -81.1
&SYSTEM
  ibrav = 0, nat = 4, ntyp = 3
/
ATOMIC_SPECIES
Au 196.97 Au.upf
Cu 63.55 Cu.upf
Ta 180.95 Ta.upf
ATOMIC_POSITIONS crystal
Au 0.000 0.000 0.769
Au 0.000 0.000 0.231
Cu 0.500 0.500 0.000
Ta 0.500 0.500 0.500
CELL_PARAMETERS angstrom
-1.979 1.963 -0.856
-0.946 0.245 2.748
4.817 5.370 1.180

! Ta2CuAu (PBEsol, optimized geometry); values from VASP
! Formation energy in meV per atom: -33.0
&SYSTEM
  ibrav = 0, nat = 4, ntyp = 3
/
ATOMIC_SPECIES
Au 196.97 Au.upf
Cu 63.55 Cu.upf
Ta 180.95 Ta.upf
ATOMIC_POSITIONS crystal
Au 0.000 0.000 0.517
Cu 0.500 0.500 0.748
Ta 0.000 0.000 0.983
Ta 0.500 0.500 0.252
CELL_PARAMETERS angstrom
3.022 0.000 0.000
0.000 3.604 0.000
0.000 0.000 5.877

! TaCuAu2 (PBEsol, optimized geometry); values from VASP
! Formation energy in meV per atom: 8.8
&SYSTEM
  ibrav = 0, nat = 4, ntyp = 3
/
ATOMIC_SPECIES
Au 196.97 Au.upf
Cu 63.55 Cu.upf
Ta 180.95 Ta.upf
ATOMIC_POSITIONS crystal
Au 0.874 0.000 0.955
Au 0.874 0.500 0.298
Cu 0.379 0.000 0.462
Ta 0.373 0.500 0.785
CELL_PARAMETERS angstrom
2.730 0.000 0.052
0.000 4.607 0.000
-0.101 0.000 5.027

! TaCuAu2 (PBEsol, optimized geometry); values from VASP
! Formation energy in meV per atom: -27.9
&SYSTEM
  ibrav = 0, nat = 4, ntyp = 3
/
ATOMIC_SPECIES
Au 196.97 Au.upf
Cu 63.55 Cu.upf
Ta 180.95 Ta.upf
ATOMIC_POSITIONS crystal
Au 0.000 0.000 0.004
Au 0.500 0.500 0.727
Cu 0.000 0.000 0.501
Ta 0.500 0.500 0.268
CELL_PARAMETERS angstrom
2.844 0.044 0.000
-0.042 2.844 0.000
0.000 0.000 7.757

! CuTc2Au (PBEsol, optimized geometry); values from VASP
! Formation energy in meV per atom: 584.8
! Energy above the lowest structure with this stoichiometry in meV/atom: 473
&SYSTEM
  ibrav = 0, nat = 4, ntyp = 3
/
ATOMIC_SPECIES
Au 196.97 Au.upf
Cu 63.55 Cu.upf
Tc 98.00 Tc.upf
ATOMIC_POSITIONS crystal
Au 0.000 0.000 0.000
Cu 0.500 0.500 0.500
Tc 0.250 0.250 0.250
Tc 0.750 0.750 0.750
CELL_PARAMETERS angstrom
4.312 0.000 0.000
2.156 3.734 0.000
2.156 1.245 3.520

! CuTcAu2 (PBEsol, optimized geometry); values from VASP
! Formation energy in meV per atom: 215.5
! Energy above the lowest structure with this stoichiometry in meV/atom: 0
&SYSTEM
  ibrav = 0, nat = 4, ntyp = 3
/
ATOMIC_SPECIES
Au 196.97 Au.upf
Cu 63.55 Cu.upf
Tc 98.00 Tc.upf
ATOMIC_POSITIONS crystal
Au 0.247 0.247 0.258
Au 0.753 0.753 0.742
Cu 0.500 0.500 0.500
Tc 0.000 0.000 0.000
CELL_PARAMETERS angstrom
2.777 0.000 0.000
1.389 2.405 0.000
1.389 0.802 8.885

! CuTc2Au (PBEsol, optimized geometry); values from VASP
! Formation energy in meV per atom: 359.4
! Energy above the lowest structure with this stoichiometry in meV/atom: 247
&SYSTEM
  ibrav = 0, nat = 4, ntyp = 3
/
ATOMIC_SPECIES
Au 196.97 Au.upf
Cu 63.55 Cu.upf
Tc 98.00 Tc.upf
ATOMIC_POSITIONS crystal
Au 0.500 0.500 0.500
Cu 0.000 0.000 0.000
Tc 0.255 0.255 0.236
Tc 0.745 0.745 0.764
CELL_PARAMETERS angstrom
-1.057 -0.836 2.330
-1.535 -2.210 0.065
6.462 -6.060 2.312

! CuTcAu2 (PBEsol, optimized geometry); values from VASP
! Formation energy in meV per atom: 346.4
! Energy above the lowest structure with this stoichiometry in meV/atom: 131
&SYSTEM
  ibrav = 0, nat = 4, ntyp = 3
/
ATOMIC_SPECIES
Au 196.97 Au.upf
Cu 63.55 Cu.upf
Tc 98.00 Tc.upf
ATOMIC_POSITIONS crystal
Au 0.000 0.000 0.000
Au 0.500 0.000 0.500
Cu 0.500 0.500 0.000
Tc 0.000 0.500 0.500
CELL_PARAMETERS angstrom
2.647 0.000 0.000
0.000 4.885 -0.042
0.000 -1.622 4.652

! CuTc2Au (PBEsol, optimized geometry); values from VASP
! Formation energy in meV per atom: 183.6
! Energy above the lowest structure with this stoichiometry in meV/atom: 71
&SYSTEM
  ibrav = 0, nat = 4, ntyp = 3
/
ATOMIC_SPECIES
Au 196.97 Au.upf
Cu 63.55 Cu.upf
Tc 98.00 Tc.upf
ATOMIC_POSITIONS crystal
Au 0.997 0.000 0.516
Cu 0.503 0.500 0.751
Tc 0.029 0.000 0.012
Tc 0.471 0.500 0.220
CELL_PARAMETERS angstrom
-0.622 -0.847 2.551
3.640 -0.541 0.707
0.435 5.191 1.733

! CuTc2Au (PBEsol, optimized geometry); values from VASP
! Formation energy in meV per atom: 112.3
! Energy above the lowest structure with this stoichiometry in meV/atom: 0
&SYSTEM
  ibrav = 0, nat = 4, ntyp = 3
/
ATOMIC_SPECIES
Au 196.97 Au.upf
Cu 63.55 Cu.upf
Tc 98.00 Tc.upf
ATOMIC_POSITIONS crystal
Au 0.503 0.503 0.492
Cu 0.252 0.252 0.243
Tc 0.001 0.001 0.998
Tc 0.744 0.744 0.768
CELL_PARAMETERS angstrom
-0.731 2.371 1.135
-2.085 0.086 1.757
4.642 -0.666 7.660

no.,E_tot (eV/cell)
1,-33.1
2,-24.0
3,-25.1
4,-33.5
5,-24.7
6,-24.8
7,-28.5
8,-22.6
9,-29.4
10,-22.1
11,-30.1
12,-30.3